A plane-wave DFT calculation with PBE-GGA was carried out for a geometry-optimized ZrMoPd structure.

Cell lengths 4.4224, 4.4224, 4.4224 Å; angles 60.00, 60.00, 60.00 degrees
Fractional positions:
Pd: 0.0000 0.0000 0.0000
Zr: 0.7500 0.7500 0.7500
Mo: 0.2500 0.2500 0.2500

Summary:
The value obtained for the energy above the most stable polymorph in this dataset is 0.0000 eV per atom. Its space group is F-43m. As for the formation energy: 1.3 eV/f.u.



A plane-wave DFT calculation with PBE-GGA was carried out for a geometry-optimized Zr2MoPd structure.

Cell lengths 3.3601, 3.3601, 6.6404 Å; angles 90.00, 90.00, 90.00 degrees
Fractional positions:
Pd: 0.5000 0.5000 0.5000
Mo: 0.5000 0.5000 0.0000
Zr: 0.0000 0.0000 0.7600
Zr: 0.0000 0.0000 0.2400

Summary:
Its space group is P4/mmm. As for the formation energy: -1.6 eV/f.u.



A plane-wave DFT calculation with PBE-GGA was carried out for a geometry-optimized Zr2MoPd structure.

Cell lengths 4.6943, 4.6943, 4.6943 Å; angles 60.00, 60.00, 60.00 degrees
Fractional positions:
Pd: 0.7500 0.7500 0.7500
Mo: 0.5000 0.5000 0.5000
Zr: 0.0000 0.0000 0.0000
Zr: 0.2500 0.2500 0.2500

Summary:
Its space group is F-43m. As for the formation energy: 0.0 eV/f.u.



A plane-wave DFT calculation with PBE-GGA was carried out for a geometry-optimized PmMoPt structure.

Cell lengths 4.6731, 4.6731, 4.6731 Å; angles 60.00, 60.00, 60.00 degrees
Last column: magnetic moment on the atom in μB.
Fractional positions:
Pm: 0.2500 0.2500 0.2500  0.14
Pt: 0.0000 0.0000 0.0000  0.09
Mo: 0.5000 0.5000 0.5000  2.50

Summary:
The value obtained for the energy above the most stable polymorph in this dataset is 0.5527 eV per atom. Its space group is F-43m. As for the formation energy: 2.4 eV/f.u.



A plane-wave DFT calculation with PBE-GGA was carried out for a geometry-optimized PmMoPt structure.

Cell lengths 4.6495, 4.6495, 4.6495 Å; angles 60.00, 60.00, 60.00 degrees
Fractional positions:
Pm: 0.7500 0.7500 0.7500
Pt: 0.0000 0.0000 0.0000
Mo: 0.2500 0.2500 0.2500

Summary:
The value obtained for the energy above the most stable polymorph in this dataset is 0.0000 eV per atom. Its space group is F-43m. As for the formation energy: 0.8 eV/f.u.



A plane-wave DFT calculation with PBE-GGA was carried out for a geometry-optimized PmPuMo structure.

Cell lengths 4.7737, 4.7737, 4.7737 Å; angles 60.00, 60.00, 60.00 degrees
Fractional positions:
Pm: 0.2500 0.2500 0.2500
Mo: 0.0000 0.0000 0.0000
Pu: 0.7500 0.7500 0.7500

Summary:
The value obtained for the energy above the most stable polymorph in this dataset is 0.0000 eV per atom. Its space group is F-43m. As for the formation energy: 1.9 eV/f.u.



A plane-wave DFT calculation with PBE-GGA was carried out for a geometry-optimized RbPmMo structure.

Cell lengths 5.3508, 5.3508, 5.3508 Å; angles 60.00, 60.00, 60.00 degrees
Fractional positions:
Pm: 0.2500 0.2500 0.2500
Mo: 0.0000 0.0000 0.0000
Rb: 0.7500 0.7500 0.7500

Summary:
The value obtained for the energy above the most stable polymorph in this dataset is 0.0000 eV per atom. Its space group is F-43m.



A plane-wave DFT calculation with PBE-GGA was carried out for a geometry-optimized PmSbMo structure.

Cell lengths 4.8104, 4.8104, 4.8104 Å; angles 60.00, 60.00, 60.00 degrees
Last column: magnetic moment on the atom in μB.
Fractional positions:
Mo: 0.2500 0.2500 0.2500  0.24
Pm: 0.7500 0.7500 0.7500  0.01
Sb: 0.0000 0.0000 0.0000  -0.01

Summary:
The value obtained for the energy above the most stable polymorph in this dataset is 0.0000 eV per atom. Its space group is F-43m.



A plane-wave DFT calculation with PBE-GGA was carried out for a geometry-optimized PmSbMo structure.

Cell lengths 5.0471, 5.0471, 5.0471 Å; angles 60.00, 60.00, 60.00 degrees
Fractional positions:
Pm: 0.0000 0.0000 0.0000
Sb: 0.7500 0.7500 0.7500
Mo: 0.2500 0.2500 0.2500

Summary:
The value obtained for the energy above the most stable polymorph in this dataset is 0.6363 eV per atom. Its space group is F-43m.



A plane-wave DFT calculation with PBE-GGA was carried out for a geometry-optimized PmScMo structure.

Cell lengths 4.7579, 4.7579, 4.7579 Å; angles 60.00, 60.00, 60.00 degrees
Fractional positions:
Pm: 0.7500 0.7500 0.7500
Mo: 0.2500 0.2500 0.2500
Sc: 0.0000 0.0000 0.0000

Summary:
Its space group is F-43m. As for the formation energy: 3.3 eV/f.u.



A plane-wave DFT calculation with PBE-GGA was carried out for a geometry-optimized PmSiMo structure.

Cell lengths 4.5463, 4.5463, 4.5463 Å; angles 60.00, 60.00, 60.00 degrees
Fractional positions:
Si: 0.0000 0.0000 0.0000
Pm: 0.7500 0.7500 0.7500
Mo: 0.2500 0.2500 0.2500

Summary:
The value obtained for the energy above the most stable polymorph in this dataset is 0.0000 eV per atom. Its space group is F-43m.



A plane-wave DFT calculation with PBE-GGA was carried out for a geometry-optimized PmSiMo structure.

Cell lengths 4.7970, 4.7970, 4.7970 Å; angles 60.00, 60.00, 60.00 degrees
Last column: magnetic moment on the atom in μB.
Fractional positions:
Pm: 0.0000 0.0000 0.0000  0.21
Si: 0.7500 0.7500 0.7500  -0.03
Mo: 0.2500 0.2500 0.2500  2.72

Summary:
The value obtained for the energy above the most stable polymorph in this dataset is 1.0444 eV per atom. Its space group is F-43m.



Repeat the first record exactly.
A plane-wave DFT calculation with PBE-GGA was carried out for a geometry-optimized ZrMoPd structure.

Cell lengths 4.4224, 4.4224, 4.4224 Å; angles 60.00, 60.00, 60.00 degrees
Fractional positions:
Pd: 0.0000 0.0000 0.0000
Zr: 0.7500 0.7500 0.7500
Mo: 0.2500 0.2500 0.2500

Summary:
The value obtained for the energy above the most stable polymorph in this dataset is 0.0000 eV per atom. Its space group is F-43m. As for the formation energy: 1.3 eV/f.u.